A relaxed structure of LaThAs2. Source: Alexandria via LeMat-Bulk, functional PBE.

abc: 7.4789 7.4789 7.4789
angles: 33.45 33.45 33.45
Element x y z (fractional)
La 0.0000 0.0000 0.0000
Th 0.5000 0.5000 0.5000
As 0.2471 0.2471 0.2471
As 0.7529 0.7529 0.7529

Summary:
**Excess energy over the best structure of this formula in the dataset**: 0 meV/atom
**Space-group type**: R-3m (166)
**N(E_F)**: 0.5151 states/eV/atom
**ΔE_f**: -6.026 eV per formula unit

A relaxed structure of ZrSc2Al. Source: Alexandria via LeMat-Bulk, functional PBE.

abc: 5.9763 5.9763 10.6556
angles: 117.09 117.09 31.14
Element x y z (fractional)
Zr 0.1277 0.1277 0.1566
Zr 0.8723 0.8723 0.8434
Sc 0.3806 0.3806 0.1125
Sc 0.3840 0.3840 0.5892
Sc 0.6160 0.6160 0.4108
Sc 0.6194 0.6194 0.8875
Al 0.1331 0.1331 0.6507
Al 0.8669 0.8669 0.3493

Summary:
**Space-group type**: C2/m (12)
**N(E_F)**: 1.1462 states/eV/atom
**ΔE_f**: -0.880 eV per formula unit

A relaxed structure of KAg2HgBr4. Source: Alexandria via LeMat-Bulk, functional PBE.

abc: 8.4658 8.4658 8.4658
angles: 134.77 134.77 65.88
Element x y z (fractional)
K 0.0000 0.0000 0.0000
Ag 0.2500 0.7500 0.5000
Ag 0.7500 0.2500 0.5000
Hg 0.5000 0.5000 0.0000
Br 0.1180 0.1180 0.5310
Br 0.4130 0.8820 0.0000
Br 0.5870 0.5870 0.4690
Br 0.8820 0.4130 0.0000

Summary:
**Space-group type**: I-42m (121)
**N(E_F)**: 0.6225 states/eV/atom
**E_form (uncorrected)**: -4.75 eV per formula unit

A relaxed structure of LaMgNCl2. Source: Alexandria via LeMat-Bulk, functional PBE.

abc: 4.7275 4.7275 4.2458
angles: 90.00 90.00 90.00
Element x y z (fractional)
La 0.0000 0.0000 0.0000
Mg 0.5000 0.5000 0.5000
N 0.5000 0.5000 0.0000
Cl 0.0000 0.5000 0.5000
Cl 0.5000 0.0000 0.5000

Summary:
**Space-group type**: P4/mmm (123)
**N(E_F)**: 0.2825 states/eV/atom
**E_form (uncorrected)**: -4.69 eV per formula unit

A relaxed structure of LiB2PN4. Source: Alexandria via LeMat-Bulk, functional PBE.

abc: 4.7205 4.7205 4.7205
angles: 131.31 131.31 71.32
Element x y z (fractional)
Li 0.0000 0.0000 0.0000
B 0.2500 0.7500 0.5000
B 0.7500 0.2500 0.5000
P 0.5000 0.5000 0.0000
N 0.1315 0.1315 0.5399
N 0.4085 0.8685 0.0000
N 0.5915 0.5915 0.4601
N 0.8685 0.4085 0.0000

Summary:
**Space-group type**: I-42m (121)
**N(E_F)**: 0.0000 states/eV/atom
**E_form (uncorrected)**: -5.72 eV per formula unit

A relaxed structure of Th2CuGe4Rh3. Source: Alexandria via LeMat-Bulk, functional PBE.

abc: 4.2947 4.2947 10.0375
angles: 90.00 90.00 90.00
Element x y z (fractional)
Th 0.0000 0.5000 0.2484
Th 0.5000 0.0000 0.7516
Cu 0.5000 0.5000 0.0000
Ge 0.0000 0.0000 0.5000
Ge 0.0000 0.5000 0.8696
Ge 0.5000 0.0000 0.1304
Ge 0.5000 0.5000 0.5000
Rh 0.0000 0.0000 0.0000
Rh 0.0000 0.5000 0.6259
Rh 0.5000 0.0000 0.3741

Summary:
**Space-group type**: P-4m2 (115)
**N(E_F)**: 0.6716 states/eV/atom
**ΔE_f**: -7.779 eV per formula unit

A relaxed structure of Tm2PdPt. Source: Alexandria via LeMat-Bulk, functional PBE.

abc: 4.8993 4.8993 3.4277
angles: 90.00 90.00 90.00
Element x y z (fractional)
Tm 0.0000 0.5000 0.0000
Tm 0.5000 0.0000 0.0000
Pd 0.0000 0.0000 0.5000
Pt 0.5000 0.5000 0.5000

Summary:
**Excess energy over the best structure of this formula in the dataset**: 6 meV/atom
**Space-group type**: P4/mmm (123)
**N(E_F)**: 0.5578 states/eV/atom
**ΔE_f**: -4.509 eV per formula unit

A relaxed structure of CaCd2Rh. Source: Alexandria via LeMat-Bulk, functional PBE.

abc: 3.5687 4.3411 5.9681
angles: 90.00 107.21 90.00
Element x y z (fractional)
Ca 0.0000 0.0000 0.0000
Cd 0.2725 0.0000 0.5441
Cd 0.6743 0.5000 0.3500
Rh 0.4196 0.5000 0.8379

Summary:
**Space-group type**: Pm (6)
**N(E_F)**: 0.4842 states/eV/atom
**ΔE_f**: -0.734 eV per formula unit

A relaxed structure of MgTe3. Source: Alexandria via LeMat-Bulk, functional PBE.

abc: 5.3857 5.3857 3.7621
angles: 90.00 90.00 90.00
Element x y z (fractional)
Mg 0.0000 0.0000 0.0000
Te 0.0000 0.5000 0.5000
Te 0.5000 0.0000 0.5000
Te 0.5000 0.5000 0.0000

Summary:
**Space-group type**: P4/mmm (123)
**N(E_F)**: 0.7202 states/eV/atom
**E_form (uncorrected)**: -0.04 eV per formula unit

A relaxed structure of NaSb2MoC. Source: Alexandria via LeMat-Bulk, functional PBE.

abc: 5.2118 5.2118 5.0195
angles: 90.00 90.00 90.00
Element x y z (fractional)
Na 0.0000 0.0000 0.0000
Sb 0.0000 0.5000 0.0000
Sb 0.5000 0.0000 0.0000
Mo 0.0000 0.0000 0.5000
C 0.5000 0.5000 0.5000

Summary:
**Space-group type**: P4/mmm (123)
**N(E_F)**: 0.6861 states/eV/atom
**E_form (uncorrected)**: 13.46 eV per formula unit

A relaxed structure of Ca2ZrIn2. Source: Alexandria via LeMat-Bulk, functional PBE.

abc: 10.1326 10.1326 10.1326
angles: 156.78 156.78 33.07
Element x y z (fractional)
Ca 0.1038 0.1038 0.0000
Ca 0.8962 0.8962 0.0000
Zr 0.5000 0.5000 0.0000
In 0.2500 0.7500 0.5000
In 0.7500 0.2500 0.5000

Summary:
**Excess energy over the best structure of this formula in the dataset**: 427 meV/atom
**Space-group type**: I4/mmm (139)
**N(E_F)**: 1.0814 states/eV/atom
**ΔE_f**: 1.673 eV per formula unit

A relaxed structure of HoErTh2. Source: Alexandria via LeMat-Bulk, functional PBE.

abc: 5.0161 5.0161 5.0280
angles: 90.00 90.00 90.00
Element x y z (fractional)
Ho 0.0000 0.0000 0.0000
Er 0.5000 0.5000 0.0000
Th 0.0000 0.5000 0.5000
Th 0.5000 0.0000 0.5000

Summary:
**Excess energy over the best structure of this formula in the dataset**: 10 meV/atom
**Space-group type**: P4/mmm (123)
**N(E_F)**: 1.4674 states/eV/atom
**ΔE_f**: 0.161 eV per formula unit

A relaxed structure of BaLaTcAg2. Source: Alexandria via LeMat-Bulk, functional PBE.

abc: 5.5351 5.5351 4.8560
angles: 90.00 90.00 90.00
Element x y z (fractional)
Ba 0.0000 0.0000 0.0000
La 0.5000 0.5000 0.0000
Tc 0.5000 0.5000 0.5000
Ag 0.0000 0.5000 0.5000
Ag 0.5000 0.0000 0.5000

Summary:
**Space-group type**: P4/mmm (123)
**N(E_F)**: 0.6759 states/eV/atom
**ΔE_f**: 0.997 eV per formula unit

A relaxed structure of RbHoCd2. Source: Alexandria via LeMat-Bulk, functional PBE.

abc: 3.8677 3.8677 8.7725
angles: 90.00 90.00 90.00
Element x y z (fractional)
Rb 0.0000 0.0000 0.0000
Ho 0.0000 0.0000 0.5000
Cd 0.5000 0.5000 0.3106
Cd 0.5000 0.5000 0.6894

Summary:
**Space-group type**: P4/mmm (123)
**N(E_F)**: 0.8805 states/eV/atom
**ΔE_f**: -0.269 eV per formula unit

A relaxed structure of YSc2W. Source: Alexandria via LeMat-Bulk, functional PBE.

abc: 4.4655 4.4655 4.4868
angles: 90.00 90.00 90.00
Element x y z (fractional)
Y 0.0000 0.0000 0.0000
Sc 0.0000 0.5000 0.5000
Sc 0.5000 0.0000 0.5000
W 0.5000 0.5000 0.0000

Summary:
**Excess energy over the best structure of this formula in the dataset**: 98 meV/atom
**Space-group type**: P4/mmm (123)
**N(E_F)**: 0.9929 states/eV/atom
**ΔE_f**: 1.456 eV per formula unit

A relaxed structure of BeGeSe2N. Source: Alexandria via LeMat-Bulk, functional PBE.

abc: 5.1900 5.1900 3.4699
angles: 90.00 90.00 90.00
Element x y z (fractional)
Be 0.0000 0.0000 0.0000
Ge 0.5000 0.5000 0.5000
Se 0.0000 0.5000 0.5000
Se 0.5000 0.0000 0.5000
N 0.5000 0.5000 0.0000

Summary:
**Excess energy over the best structure of this formula in the dataset**: 571 meV/atom
**Space-group type**: P4/mmm (123)
**N(E_F)**: 0.5533 states/eV/atom
**E_form (uncorrected)**: 4.88 eV per formula unit

A relaxed structure of MgTiNi2. Source: Alexandria via LeMat-Bulk, functional PBE.

abc: 5.4472 5.4472 5.4472
angles: 104.39 104.39 120.20
Element x y z (fractional)
Mg 0.0000 0.0000 0.0000
Mg 0.7500 0.2500 0.5000
Ti 0.2500 0.7500 0.5000
Ti 0.5000 0.5000 0.0000
Ni 0.1512 0.6250 0.0262
Ni 0.3750 0.4012 0.5262
Ni 0.5988 0.1250 0.9738
Ni 0.8750 0.8488 0.4738

Summary:
**Space-group type**: I-42d (122)
**N(E_F)**: 0.5975 states/eV/atom
**ΔE_f**: 0.569 eV per formula unit

A relaxed structure of Be4AgPb. Source: Alexandria via LeMat-Bulk, functional PBE.

abc: 4.8544 4.8544 4.8544
angles: 60.00 60.00 60.00
Element x y z (fractional)
Be 0.1228 0.1228 0.1228
Be 0.1228 0.1228 0.6317
Be 0.1228 0.6317 0.1228
Be 0.6317 0.1228 0.1228
Ag 0.7500 0.7500 0.7500
Pb 0.5000 0.5000 0.5000

Summary:
**Space-group type**: F-43m (216)
**N(E_F)**: 0.4621 states/eV/atom
**ΔE_f**: 2.831 eV per formula unit

A relaxed structure of TaTl2Sb. Source: Alexandria via LeMat-Bulk, functional PBE.

abc: 5.2360 5.2360 5.2360
angles: 60.00 60.00 60.00
Element x y z (fractional)
Ta 0.0000 0.0000 0.0000
Tl 0.2500 0.2500 0.2500
Tl 0.7500 0.7500 0.7500
Sb 0.5000 0.5000 0.5000

Summary:
**Excess energy over the best structure of this formula in the dataset**: 666 meV/atom
**Space-group type**: Fm-3m (225)
**N(E_F)**: 1.1780 states/eV/atom
**E_form (uncorrected)**: 3.70 eV per formula unit

A relaxed structure of Ba3Pr3SmTe8. Source: Alexandria via LeMat-Bulk, functional PBE.

abc: 9.2342 9.2342 9.6545
angles: 118.54 118.54 60.02
Element x y z (fractional)
Ba 0.0000 0.0000 0.0000
Ba 0.0000 0.5000 0.0000
Ba 0.5000 0.0000 0.0000
Pr 0.0000 0.5000 0.5000
Pr 0.5000 0.0000 0.5000
Pr 0.5000 0.5000 0.5000
Sm 0.0000 0.0000 0.5000
Te 0.2400 0.2400 0.7227
Te 0.2401 0.7426 0.7228
Te 0.2574 0.7599 0.2772
Te 0.2576 0.2576 0.2728
Te 0.7424 0.7424 0.7272
Te 0.7426 0.2401 0.7228
Te 0.7599 0.2574 0.2772
Te 0.7600 0.7600 0.2773

Summary:
**Space-group type**: C2/m (12)
**N(E_F)**: 0.2834 states/eV/atom
**E_form (uncorrected)**: -23.67 eV per formula unit

A relaxed structure of Pr2CoRh. Source: Alexandria via LeMat-Bulk, functional PBE.

abc: 5.9094 4.0596 8.1151
angles: 90.00 110.09 90.00
Element x y z (fractional)
Pr 0.2142 0.2500 0.4327
Pr 0.2149 0.2500 0.9246
Pr 0.7851 0.7500 0.0754
Pr 0.7858 0.7500 0.5673
Co 0.3567 0.7500 0.7142
Co 0.6433 0.2500 0.2858
Rh 0.3571 0.7500 0.2142
Rh 0.6429 0.2500 0.7858

Summary:
**Excess energy over the best structure of this formula in the dataset**: 0 meV/atom
**Space-group type**: P2_1/m (11)
**N(E_F)**: 0.9850 states/eV/atom
**ΔE_f**: -1.287 eV per formula unit

A relaxed structure of Li3Tb5S8. Source: Alexandria via LeMat-Bulk, functional PBE.

abc: 7.7478 7.7478 7.7478
angles: 60.47 60.47 60.47
Element x y z (fractional)
Li 0.0000 0.5000 0.5000
Li 0.5000 0.0000 0.5000
Li 0.5000 0.5000 0.0000
Tb 0.0000 0.0000 0.0000
Tb 0.0000 0.0000 0.5000
Tb 0.0000 0.5000 0.0000
Tb 0.5000 0.0000 0.0000
Tb 0.5000 0.5000 0.5000
S 0.2499 0.2499 0.7446
S 0.2499 0.7446 0.2499
S 0.2507 0.2507 0.2507
S 0.2554 0.7501 0.7501
S 0.7446 0.2499 0.2499
S 0.7493 0.7493 0.7493
S 0.7501 0.2554 0.7501
S 0.7501 0.7501 0.2554

Summary:
**Space-group type**: R-3m (166)
**N(E_F)**: 0.2435 states/eV/atom
**E_form (uncorrected)**: -30.32 eV per formula unit

A relaxed structure of YAg2. Source: Alexandria via LeMat-Bulk, functional PBE.

abc: 4.8594 4.8594 4.8594
angles: 60.00 60.00 60.00
Element x y z (fractional)
Y 0.0000 0.0000 0.0000
Ag 0.2500 0.2500 0.2500
Ag 0.7500 0.7500 0.7500

Summary:
**Space-group type**: Fm-3m (225)
**N(E_F)**: 0.7888 states/eV/atom
**ΔE_f**: 0.421 eV per formula unit

A relaxed structure of NdHIr. Source: Alexandria via LeMat-Bulk, functional PBE.

abc: 15.6805 3.6714 3.6616
angles: 90.00 90.00 90.00
Element x y z (fractional)
Nd 0.1522 0.2500 0.2371
Nd 0.3478 0.7500 0.7371
Nd 0.6522 0.2500 0.2629
Nd 0.8478 0.7500 0.7629
H 0.1926 0.7500 0.7333
H 0.3074 0.2500 0.2333
H 0.6926 0.7500 0.7667
H 0.8074 0.2500 0.2667
Ir 0.0001 0.2500 0.7436
Ir 0.9999 0.7500 0.2564
Ir 0.5001 0.2500 0.7564
Ir 0.4999 0.7500 0.2436

Summary:
**Excess energy over the best structure of this formula in the dataset**: 0 meV/atom
**Space-group type**: Pnma (62)
**N(E_F)**: 0.7893 states/eV/atom

A relaxed structure of AlInIr2. Source: Alexandria via LeMat-Bulk, functional PBE.

abc: 9.0838 9.0838 9.0838
angles: 153.51 153.51 37.82
Element x y z (fractional)
Al 0.0000 0.0000 0.0000
Al 0.7500 0.2500 0.5000
In 0.2500 0.7500 0.5000
In 0.5000 0.5000 0.0000
Ir 0.0641 0.6250 0.9391
Ir 0.3750 0.3141 0.4391
Ir 0.6859 0.1250 0.0609
Ir 0.8750 0.9359 0.5609

Summary:
**Space-group type**: I-42d (122)
**N(E_F)**: 0.7658 states/eV/atom
**ΔE_f**: 0.695 eV per formula unit

A relaxed structure of BeMo3Se. Source: Alexandria via LeMat-Bulk, functional PBE.

abc: 4.2937 4.2937 4.2937
angles: 90.00 90.00 90.00
Element x y z (fractional)
Be 0.0000 0.0000 0.0000
Mo 0.0000 0.0000 0.5000
Mo 0.0000 0.5000 0.0000
Mo 0.5000 0.0000 0.0000
Se 0.5000 0.5000 0.5000

Summary:
**Excess energy over the best structure of this formula in the dataset**: 0 meV/atom
**Space-group type**: Pm-3m (221)
**N(E_F)**: 2.3375 states/eV/atom
**E_form (uncorrected)**: 4.81 eV per formula unit